A geometry-optimized LuAlO3 structure. Source: Alexandria via LeMat-Bulk, functional GGA-PBEsol.

It has space group P6_3/mmc (No. 194), with a = 3.3525 Å, b = 3.3525 Å, c = 11.3782 Å, α = 90.00°, β = 90.00° and γ = 120.00°. The inequivalent atoms are Lu at (0.0000, 0.0000, 0.0000), Al at (0.3333, 0.6667, 0.2500), O at (0.0000, 0.0000, 0.2500) and O at (0.3333, 0.6667, 0.0894).

As for the formation energy (no corrections): -3389 meV per atom. The value obtained for the density is 7.50 g cm⁻³. The value obtained for the total energy is -8.331 eV/atom.

A geometry-optimized LuAlO3 structure. Source: Alexandria via LeMat-Bulk, functional GGA-PBEsol.

It has space group R-3c (No. 167, hexagonal axes), with a = 5.2048 Å, b = 5.2048 Å, c = 12.4314 Å, α = 90.00°, β = 90.00° and γ = 120.00°. The inequivalent atoms are Lu at (0.0000, 0.0000, 0.2500), Al at (0.0000, 0.0000, 0.0000) and O at (0.0000, 0.4129, 0.2500).

As for the formation energy (no corrections): -3393 meV per atom. The value obtained for the density is 8.54 g cm⁻³. The value obtained for the total energy is -8.335 eV/atom.

A geometry-optimized Lu3Al5O12 structure. Source: Alexandria via LeMat-Bulk, functional GGA-PBEsol.

It has space group Ia-3d (No. 230), with a = 11.837 Å, b = 11.837 Å, c = 11.837 Å, α = 90.00°, β = 90.00° and γ = 90.00°. The inequivalent atoms are Lu at (0.000, 0.250, 0.125), Al at (0.000, 0.000, 0.000), Al at (0.000, 0.250, 0.375) and O at (0.029, 0.054, 0.650).

As for the formation energy (no corrections): -3364 meV per atom. The value obtained for the density is 6.82 g cm⁻³. The value obtained for the total energy is -8.267 eV/atom.

A geometry-optimized Lu3AlO6 structure. Source: Alexandria via LeMat-Bulk, functional GGA-PBEsol.

It has space group R-3 (No. 148, hexagonal axes), with a = 8.9862 Å, b = 8.9862 Å, c = 10.3217 Å, α = 90.00°, β = 90.00° and γ = 120.00°. The inequivalent atoms are Lu at (0.0423, 0.7741, 0.2027), Al at (0.0000, 0.0000, 0.0000), Al at (0.0000, 0.0000, 0.5000), O at (0.0275, 0.8279, 0.4025) and O at (0.0277, 0.8446, 0.8877).

As for the formation energy (no corrections): -3588 meV per atom. The energy above the most stable polymorph in this dataset is 0 meV/atom. The value obtained for the density is 8.94 g cm⁻³. The value obtained for the total energy is -8.608 eV/atom.

A geometry-optimized LuAlO3 structure. Source: Alexandria via LeMat-Bulk, functional GGA-PBEsol.

It has space group Pnma (No. 62), with a = 5.316 Å, b = 7.260 Å, c = 5.054 Å, α = 90.00°, β = 90.00° and γ = 90.00°. The inequivalent atoms are Lu at (0.067, 0.250, 0.018), Al at (0.000, 0.000, 0.500), O at (0.032, 0.750, 0.397) and O at (0.199, 0.553, 0.803).

As for the formation energy (no corrections): -3459 meV per atom. The value obtained for the density is 8.51 g cm⁻³. The value obtained for the total energy is -8.401 eV/atom.

A geometry-optimized Lu3AlO6 structure. Source: Alexandria via LeMat-Bulk, functional GGA-PBEsol.

It has space group Cmc2_1 (No. 36), with a = 8.536 Å, b = 10.687 Å, c = 5.217 Å, α = 90.00°, β = 90.00° and γ = 90.00°. The inequivalent atoms are Lu at (0.000, 0.102, 0.000), Lu at (0.192, 0.395, 0.049), Al at (0.000, 0.305, 0.582), O at (0.000, 0.285, 0.246), O at (0.000, 0.459, 0.716), O at (0.157, 0.236, 0.755) and O at (0.161, 0.018, 0.275).

As for the formation energy (no corrections): -3576 meV per atom. The energy above the most stable polymorph in this dataset is 12 meV/atom. The value obtained for the density is 9.04 g cm⁻³. The value obtained for the total energy is -8.597 eV/atom.

Q: The highest density belongs to which entry?
A: number 6

Q: What is the formation energy (no corrections) in the second record?
A: -3393 meV per atom

Q: What is the formation energy (no corrections) in the third record?
A: -3364 meV per atom

Q: Which formula does entry 1 have?
A: LuAlO3